{"formula": "Hg2Sb", "functional": "PBE-GGA", "state": "optimized geometry", "lattice_angstrom": [[-0.7799, 4.2064, -4.0604], [-4.0464, -4.2386, 0.6701], [-5.6935, 6.7066, 8.0413]], "species": ["Sb", "Hg", "Hg", "Hg", "Hg", "Hg", "Sb", "Sb", "Hg", "Hg", "Sb", "Hg"], "fractional_positions": [[0.3333, 0.6667, 0.9764], [0.8345, 0.1655, 0.2500], [0.8345, 0.6690, 0.2500], [0.1655, 0.3310, 0.7500], [0.3310, 0.1655, 0.2500], [0.6690, 0.8345, 0.7500], [0.3333, 0.6667, 0.5236], [0.6667, 0.3333, 0.0236], [0.0000, 0.0000, 0.0000], [0.1655, 0.8345, 0.7500], [0.6667, 0.3333, 0.4764], [0.0000, 0.0000, 0.5000]], "density_g_cm3": 9.67, "raw_formation_energy_ev_per_atom": 0.247, "vol_a3_per_atom": 29.9, "space_group": "P6_3/mmc"}

***

{"formula": "LaYMg2Rh", "functional": "PBE-GGA", "state": "optimized geometry", "lattice_angstrom": [[5.1615, 0.0000, 0.0000], [0.0000, 5.1615, 0.0000], [0.0000, 0.0000, 5.1392]], "species": ["Mg", "Rh", "Y", "La", "Mg"], "fractional_positions": [[0.5000, 0.0000, 0.0000], [0.0000, 0.0000, 0.0000], [0.0000, 0.0000, 0.5000], [0.5000, 0.5000, 0.5000], [0.0000, 0.5000, 0.0000]], "density_g_cm3": 4.60, "formation_enthalpy_0k_ev_per_atom": -0.2571, "vol_a3_per_atom": 27.4, "space_group": "P4/mmm"}

***

{"formula": "Cu2Si3", "functional": "PBE-GGA", "state": "optimized geometry", "lattice_angstrom": [[0.0000, 6.0426, 9.1759], [1.2827, 0.0000, 9.1759], [1.2827, 6.0426, 0.0000]], "species": ["Si", "Si", "Cu", "Si", "Cu", "Cu", "Cu", "Si", "Si", "Si"], "fractional_positions": [[0.2696, 0.5430, 0.4403], [0.8397, 0.6603, 0.6603], [0.4549, 0.9452, 0.6612], [0.8097, 0.5029, 0.9804], [0.9388, 0.6612, 0.9452], [0.5888, 0.3112, 0.7951], [0.3048, 0.7951, 0.3112], [0.7070, 0.9804, 0.5029], [0.7471, 0.4403, 0.5430], [0.5897, 0.4103, 0.4103]], "density_g_cm3": 4.93, "raw_formation_energy_ev_per_atom": 0.185, "vol_a3_per_atom": 14.2, "space_group": "Fdd2"}

***

{"formula": "TlSn2As", "functional": "PBE-GGA", "state": "optimized geometry", "lattice_angstrom": [[-0.2134, -0.6214, 3.8247], [-0.7701, -4.9265, -0.8434], [6.1199, 1.6795, 0.6143]], "species": ["Sn", "Sn", "Tl", "As"], "fractional_positions": [[0.0000, 0.9991, 0.0558], [0.5000, 0.5804, 0.2209], [0.5000, 0.2487, 0.6575], [0.0000, 0.6718, 0.5658]], "density_g_cm3": 7.55, "formation_enthalpy_0k_ev_per_atom": 0.0687, "vol_a3_per_atom": 28.4, "space_group": "Pm"}